Material: LaMoOF2
Method: DFT, PBE with a Hubbard U
State: relaxed

Properties
V ... 20.53 Å³ per atom
Density ... 4.672 g/cm3
Energy above the lowest structure with this stoichiometry ... 318 meV/atom
Calculated total energy ... -5.64 eV per atom
Space-group type ... P4/mmm (123)

Cell and atoms, written as extended XYZ:
```
5
Lattice="4.6837 0.0000 0.0000 0.0000 4.6837 0.0000 0.0000 0.0000 4.6802" Properties=species:S:1:pos:R:3 pbc="T T T"
La 0.0000 0.0000 0.0000
Mo 2.3418 2.3418 2.3401
O 0.0000 0.0000 2.3401
F 0.0000 2.3418 0.0000
F 2.3418 0.0000 0.0000
```